(1)
VASP calculation (PBE) on a relaxed structure of RbTiRhAu2.

abc: 5.212 5.212 5.001
angles: 90.00 90.00 90.00
Fractional positions:
Rb: 0.000 0.000 0.000
Ti: 0.500 0.500 0.000
Rh: 0.000 0.000 0.500
Au: 0.000 0.500 0.500
Au: 0.500 0.000 0.500

Values from the calculation:
E_form = 1.176 eV per atom
DOS at the Fermi energy = 8.75 states/eV/f.u.
volume = 135.85 Å³ per cell
space-group type = P4/mmm



(2)
VASP calculation (PBE) on a relaxed structure of RbRuAu2.

abc: 9.689 9.689 9.689
angles: 147.18 147.18 47.10
Fractional positions:
Rb: 0.375 0.625 0.750
Rb: 0.625 0.375 0.250
Ru: 0.125 0.875 0.250
Ru: 0.875 0.125 0.750
Au: 0.000 0.000 0.000
Au: 0.000 0.000 0.500
Au: 0.000 0.500 0.000
Au: 0.500 0.000 0.500

Values from the calculation:
E_form = 0.613 eV per atom
energy relative to the lowest polymorph listed for this composition = 0 meV/atom
DOS at the Fermi energy = 5.03 states/eV/f.u.
volume = 266.20 Å³ per cell
space-group type = I4_1/amd



(3)
VASP calculation (PBE) on a relaxed structure of RbRuAu3.

abc: 5.189 5.189 5.189
angles: 90.00 90.00 90.00
Fractional positions:
Rb: 0.000 0.000 0.000
Ru: 0.500 0.500 0.500
Au: 0.000 0.500 0.500
Au: 0.500 0.000 0.500
Au: 0.500 0.500 0.000

Values from the calculation:
E_form = 0.454 eV per atom
energy relative to the lowest polymorph listed for this composition = 0 meV/atom
DOS at the Fermi energy = 2.87 states/eV/f.u.
volume = 139.69 Å³ per cell
space-group type = Pm-3m



(4)
VASP calculation (PBE) on a relaxed structure of Rb2RuAu.

abc: 5.849 5.849 5.849
angles: 60.00 60.00 60.00
Fractional positions:
Rb: 0.250 0.250 0.250
Rb: 0.750 0.750 0.750
Ru: 0.000 0.000 0.000
Au: 0.500 0.500 0.500

Values from the calculation:
E_form = 1.092 eV per atom
energy relative to the lowest polymorph listed for this composition = 118 meV/atom
DOS at the Fermi energy = 10.53 states/eV/f.u.
volume = 141.49 Å³ per cell
space-group type = Fm-3m